Be2VSb2 after structural relaxation. Source: the Alexandria database, functional PBE.

The calculation puts the mass density at 5.896 g cm⁻³. Its energy above the most stable polymorph in this dataset is 131 meV per atom. The raw formation energy comes out at 520 meV per atom. As for the total magnetic moment: 4.17 μB/cell.

The structure belongs to space group I4/mmm (No. 139); the cell edges are 5.0992, 5.0992 and 6.7691 Å and the angles 90.00°, 90.00° and 90.00°. Symmetry generates all atoms from Be at (0.0000, 0.0000, 0.1551), V at (0.0000, 0.0000, 0.5000) and Sb at (0.0000, 0.5000, 0.2500).

***

PrNd2SnN after structural relaxation. Source: the Alexandria database, functional PBE.

The calculation puts the mass density at 7.343 g cm⁻³. The raw formation energy comes out at -951 meV per atom. As for the total magnetic moment: 0.00 μB/cell.

The structure belongs to space group P4/mmm (No. 123); the cell edges are 5.0138, 5.0138 and 5.0568 Å and the angles 90.00°, 90.00° and 90.00°. Symmetry generates all atoms from Pr at (0.0000, 0.0000, 0.0000), Nd at (0.0000, 0.5000, 0.5000), Sn at (0.5000, 0.5000, 0.0000) and N at (0.0000, 0.0000, 0.5000).

***

Li2HgOs after structural relaxation. Source: the Alexandria database, functional PBE.

The calculation puts the mass density at 10.536 g cm⁻³. The value obtained for the energy of formation from the pure elements is 122 meV per atom. As for the total magnetic moment: 0.20 μB/cell.

The structure belongs to space group R-3m (No. 166, hexagonal axes); the cell edges are 2.7924, 2.7924 and 28.3375 Å and the angles 90.00°, 90.00° and 120.00°. Symmetry generates all atoms from Li at (0.0000, 0.0000, 0.2434), Hg at (0.0000, 0.0000, 0.0000) and Os at (0.0000, 0.0000, 0.5000).

***

Ac6ReO12 after structural relaxation. Source: the Alexandria database, functional PBE.

The calculation puts the mass density at 8.533 g cm⁻³. The raw formation energy comes out at -3013 meV per atom. As for the total magnetic moment: 3.03 μB/cell.

The structure belongs to space group R-3 (No. 148, hexagonal axes); the cell edges are 10.6860, 10.6860 and 10.2735 Å and the angles 90.00°, 90.00° and 120.00°. Symmetry generates all atoms from Ac at (0.0488, 0.2552, 0.1509), Re at (0.0000, 0.0000, 0.5000), O at (0.0387, 0.1717, 0.3963) and O at (0.0397, 0.2286, 0.9060).

***

DyEr2ScTe4 after structural relaxation. Source: the Alexandria database, functional PBE.

The calculation puts the mass density at 7.800 g cm⁻³. The raw formation energy comes out at -1194 meV per atom. As for the total magnetic moment: 0.00 μB/cell.

The structure belongs to space group P2/m (No. 10); the cell edges are 7.4471, 4.2538 and 7.4785 Å and the angles 90.00°, 108.96° and 90.00°. Symmetry generates all atoms from Dy at (0.0000, 0.0000, 0.0000), Er at (0.5000, 0.0000, 0.5000), Er at (0.5000, 0.5000, 0.0000), Sc at (0.0000, 0.5000, 0.5000), Te at (0.2437, 0.0000, 0.7417) and Te at (0.2483, 0.5000, 0.2557).

***

DyTlH after structural relaxation. Source: the Alexandria database, functional PBE.

The calculation puts the mass density at 10.292 g cm⁻³. Its energy above the most stable polymorph in this dataset is 34 meV per atom. As for the total magnetic moment: 0.00 μB/cell.

The structure belongs to space group P2_1/m (No. 11); the cell edges are 3.6597, 3.6815 and 8.8473 Å and the angles 90.00°, 95.19° and 90.00°. Symmetry generates all atoms from Dy at (0.2201, 0.2500, 0.3542), Tl at (0.2934, 0.2500, 0.8762) and H at (0.2475, 0.7500, 0.5004).

***

| no. | raw total energy (eV/atom) |
| --- | --- |
| 1 | -4.443 |
| 2 | -6.280 |
| 3 | -3.718 |
| 4 | -8.097 |
| 5 | -5.272 |
| 6 | -3.821 |